(1)
This record from the Alexandria database describes a relaxed CrCdAg crystal. The functional is GGA-PBEsol.

The value obtained for the polymorph energy (0 for the lowest one) is 58 meV/atom. Its crystal system is trigonal. The value obtained for the final energy is -4.48 eV/atom. For the magnetization, the calculation gives 4.2 Bohr magnetons per cell. As for the energy relative to the elements: 0.4411 eV per atom. As for the space-group type: P3m1. Its density of states at the Fermi level is 1.08 states/eV/f.u.

Cell lengths 2.8663, 4.5870, 4.5870 Å; angles 120.00, 90.00, 90.00 degrees
Closest atoms and distances in Å follow each position.
Element x y z (fractional)
1 Ag 0.9960 0.0000 0.0000  3 Cd 2.79, 3 Cr 2.80, 2 Ag 2.87
2 Cd 0.6907 0.6667 0.3333  3 Ag 2.79, 3 Cr 2.86, 2 Cd 2.87
3 Cr 0.3134 0.3333 0.6667  3 Ag 2.80, 3 Cd 2.86, 2 Cr 2.87



(2)
This record from the Alexandria database describes a relaxed MgAg2 crystal. The functional is GGA-PBEsol.

The value obtained for the polymorph energy (0 for the lowest one) is 46 meV/atom. Its crystal system is hexagonal. The value obtained for the final energy is -2.92 eV/atom. For the magnetization, the calculation gives 0.0 Bohr magnetons per cell. As for the energy relative to the elements: -0.1432 eV per atom. As for the space-group type: P-62m. Its density of states at the Fermi level is 0.86 states/eV/f.u.

Cell lengths 2.9145, 7.8093, 7.8093 Å; angles 120.00, 90.00, 90.00 degrees
Closest atoms and distances in Å follow each position.
Element x y z (fractional)
1 Ag 0.5000 0.6930 0.6930  4 Mg 2.71-2.81, 8 Ag 2.91-3.00
2 Ag 0.5000 0.0000 0.3070  4 Mg 2.71-2.81, 8 Ag 2.91-3.00
3 Ag 0.5000 0.3070 0.0000  4 Mg 2.71-2.81, 8 Ag 2.91-3.00
4 Ag 0.0000 0.3586 0.3586  5 Mg 2.80-2.90, 8 Ag 2.91-3.00
5 Ag 0.0000 0.0000 0.6414  5 Mg 2.80-2.90, 8 Ag 2.91-3.00
6 Ag 0.0000 0.6414 0.0000  5 Mg 2.80-2.90, 8 Ag 2.91-3.00
7 Mg 0.0000 0.0000 0.0000  9 Ag 2.80-2.81, 2 Mg 2.91
8 Mg 0.5000 0.6667 0.3333  9 Ag 2.71-2.90, 2 Mg 2.91
9 Mg 0.5000 0.3333 0.6667  9 Ag 2.71-2.90, 2 Mg 2.91



(3)
This record from the Alexandria database describes a relaxed LiSc2Pd crystal. The functional is GGA-PBEsol.

Its crystal system is cubic. The value obtained for the final energy is -5.71 eV/atom. For the magnetization, the calculation gives 0.0 Bohr magnetons per cell. As for the energy relative to the elements: -0.4296 eV per atom. As for the space-group type: Fm-3m. Its density of states at the Fermi level is 3.64 states/eV/f.u.

Cell lengths 4.6592, 4.6592, 4.6592 Å; angles 60.00, 60.00, 60.00 degrees
Closest atoms and distances in Å follow each position.
Element x y z (fractional)
1 Sc 0.2500 0.2500 0.2500  4 Li 2.85, 4 Pd 2.85
2 Sc 0.7500 0.7500 0.7500  4 Pd 2.85, 4 Li 2.85
3 Pd 0.5000 0.5000 0.5000  8 Sc 2.85
4 Li 0.0000 0.0000 0.0000  8 Sc 2.85



> Which formula does entry 1 have?

CrCdAg



> final energy of number 2 (MgAg2)?

-2.92 eV/atom



> energy relative to the elements of number 2 (MgAg2)?

-0.1432 eV per atom